A geometry-optimized CdAgSe2 structure. Source: Alexandria via LeMat-Bulk, functional PBE-GGA.

extended XYZ file:
```
4
Lattice="2.9467 0.0180 0.0000 -0.5950 2.8861 0.0000 0.0000 0.0000 10.5317" Properties=species:S:1:pos:R:3 pbc="T T T"
Se 0.0000 0.0000 4.8565
Se 0.0000 0.0000 0.4094
Ag 1.1758 1.4520 2.6329
Cd 1.1758 1.4520 7.8988
```

## Properties
Energy relative to the elements, uncorrected: 0.7 eV per formula unit
Crystal system: orthorhombic
DOS at the Fermi energy: 1.71 states/eV per cell
M_tot: 0.00 μB per cell